(1)
# La8CoNi2 | the Alexandria database | PBE-GGA | relaxed
# VASP energy (eV per cell): -119.6
# Formation energy from the elements (eV/f.u.): -1.72
# Crystal system: monoclinic
# Calculated density (Mg/m³): 6.36
data_La8CoNi2
_chemical_formula_sum 'La16 Co2 Ni4'
_cell_length_a 19.138
_cell_length_b 3.894
_cell_length_c 9.038
_cell_angle_alpha 90.00
_cell_angle_beta 94.05
_cell_angle_gamma 90.00
_symmetry_space_group_name_H-M 'C 1 2/m 1'
_symmetry_Int_Tables_number 12
loop_
_symmetry_equiv_pos_as_xyz
'x,y,z'
'-x,-y,-z'
'-x,y,-z'
'x,-y,z'
'x+1/2,y+1/2,z'
'-x+1/2,-y+1/2,-z'
'-x+1/2,y+1/2,-z'
'x+1/2,-y+1/2,z'
loop_
_atom_site_label
_atom_site_type_symbol
_atom_site_fract_x
_atom_site_fract_y
_atom_site_fract_z
_atom_site_occupancy
La1 La 0.011 0.000 0.200 1
La2 La 0.099 0.500 0.542 1
La3 La 0.155 0.500 0.969 1
La4 La 0.224 0.000 0.333 1
Co1 Co 0.000 0.500 0.000 1
Ni1 Ni 0.169 0.000 0.732 1

=====

(2)
# HgWSe | the Alexandria database | PBE-GGA | relaxed
# VASP energy (eV per cell): -52.1
# Crystal system: cubic
# Raw formation energy (eV per atom): 1.239
# Calculated density (Mg/m³): 12.34
data_HgWSe
_chemical_formula_sum 'Hg4 W4 Se4'
_cell_length_a 6.295
_cell_length_b 6.295
_cell_length_c 6.295
_cell_angle_alpha 90.00
_cell_angle_beta 90.00
_cell_angle_gamma 90.00
_symmetry_space_group_name_H-M 'F -4 3 m'
_symmetry_Int_Tables_number 216
_symmetry_space_group_name_Hall 'F -4 2 3'
loop_
_atom_site_label
_atom_site_type_symbol
_atom_site_fract_x
_atom_site_fract_y
_atom_site_fract_z
_atom_site_occupancy
Hg1 Hg 0.000 0.000 0.000 1
W1 W 0.000 0.000 0.500 1
Se1 Se 0.250 0.250 0.250 1

=====

(3)
# CsTePd3 | the Alexandria database | PBE-GGA | relaxed
# VASP energy (eV per cell): -19.8
# Crystal system: cubic
# Raw formation energy (eV per atom): -0.048
# Calculated density (Mg/m³): 6.90
data_CsTePd3
_chemical_formula_sum 'Cs1 Te1 Pd3'
_cell_length_a 5.188
_cell_length_b 5.188
_cell_length_c 5.188
_cell_angle_alpha 90.00
_cell_angle_beta 90.00
_cell_angle_gamma 90.00
_symmetry_space_group_name_H-M 'P m -3 m'
_symmetry_Int_Tables_number 221
_symmetry_space_group_name_Hall '-P 4 2 3'
loop_
_atom_site_label
_atom_site_type_symbol
_atom_site_fract_x
_atom_site_fract_y
_atom_site_fract_z
_atom_site_occupancy
Cs1 Cs 0.000 0.000 0.000 1
Te1 Te 0.500 0.500 0.500 1
Pd1 Pd 0.000 0.500 0.500 1

=====

(4)
# KH3Au | the Alexandria database | PBE-GGA | relaxed
# VASP energy (eV per cell): -24.3
# Crystal system: hexagonal
# Calculated density (Mg/m³): 6.53
data_KH3Au
_chemical_formula_sum 'K2 H6 Au2'
_cell_length_a 4.0920
_cell_length_b 4.0920
_cell_length_c 8.3908
_cell_angle_alpha 90.00
_cell_angle_beta 90.00
_cell_angle_gamma 120.00
_symmetry_space_group_name_H-M 'P 63/m m c'
_symmetry_Int_Tables_number 194
_symmetry_space_group_name_Hall '-P 6c 2c'
loop_
_atom_site_label
_atom_site_type_symbol
_atom_site_fract_x
_atom_site_fract_y
_atom_site_fract_z
_atom_site_occupancy
K1 K 0.3333 0.6667 0.2500 1
H1 H 0.0000 0.0000 0.2500 1
H2 H 0.3333 0.6667 0.5466 1
Au1 Au 0.0000 0.0000 0.0000 1

=====

(5)
# RbCuAs | the Alexandria database | PBE-GGA | relaxed
# VASP energy (eV per cell): -41.1
# Formation energy from the elements (eV/f.u.): -0.56
# Crystal system: tetragonal
# Calculated density (Mg/m³): 4.03
data_RbCuAs
_chemical_formula_sum 'Rb4 Cu4 As4'
_cell_length_a 4.054
_cell_length_b 4.054
_cell_length_c 22.480
_cell_angle_alpha 90.00
_cell_angle_beta 90.00
_cell_angle_gamma 90.00
_symmetry_space_group_name_H-M 'I 4/m m m'
_symmetry_Int_Tables_number 139
_symmetry_space_group_name_Hall '-I 4 2'
loop_
_atom_site_label
_atom_site_type_symbol
_atom_site_fract_x
_atom_site_fract_y
_atom_site_fract_z
_atom_site_occupancy
Rb1 Rb 0.000 0.000 0.146 1
Cu1 Cu 0.000 0.500 0.000 1
As1 As 0.000 0.000 0.436 1

=====

(6)
# CsCd2Rh | the Alexandria database | PBE-GGA | relaxed
# VASP energy (eV per cell): -36.9
# Formation energy from the elements (eV/f.u.): 0.80
# Crystal system: tetragonal
# Calculated density (Mg/m³): 4.99
data_CsCd2Rh
_chemical_formula_sum 'Cs4 Cd8 Rh4'
_cell_length_a 5.922
_cell_length_b 5.922
_cell_length_c 17.500
_cell_angle_alpha 90.00
_cell_angle_beta 90.00
_cell_angle_gamma 90.00
_symmetry_space_group_name_H-M 'I 41/a m d'
_symmetry_Int_Tables_number 141
loop_
_symmetry_equiv_pos_as_xyz
'x,y,z'
'-x,-y,-z'
'-y+1/4,x+3/4,z+1/4'
'y+1/4,-x+3/4,-z+1/4'
'-x+1/2,-y,z+1/2'
'x+1/2,y,-z+1/2'
'y+1/4,-x+1/4,z+3/4'
'-y+1/4,x+1/4,-z+3/4'
'x,-y,-z'
'-x,y,z'
'-y+1/4,-x+1/4,-z+3/4'
'y+1/4,x+1/4,z+3/4'
'-x+1/2,y,-z+1/2'
'x+1/2,-y,z+1/2'
'y+1/4,x+3/4,-z+1/4'
'-y+1/4,-x+3/4,z+1/4'
'x+1/2,y+1/2,z+1/2'
'-x+1/2,-y+1/2,-z+1/2'
'-y+3/4,x+1/4,z+3/4'
'y+3/4,-x+1/4,-z+3/4'
'-x,-y+1/2,z'
'x,y+1/2,-z'
'y+3/4,-x+3/4,z+1/4'
'-y+3/4,x+3/4,-z+1/4'
'x+1/2,-y+1/2,-z+1/2'
'-x+1/2,y+1/2,z+1/2'
'-y+3/4,-x+3/4,-z+1/4'
'y+3/4,x+3/4,z+1/4'
'-x,y+1/2,-z'
'x,-y+1/2,z'
'y+3/4,x+1/4,-z+3/4'
'-y+3/4,-x+1/4,z+3/4'
loop_
_atom_site_label
_atom_site_type_symbol
_atom_site_fract_x
_atom_site_fract_y
_atom_site_fract_z
_atom_site_occupancy
Cs1 Cs 0.000 0.250 0.375 1
Cd1 Cd 0.000 0.000 0.000 1
Rh1 Rh 0.000 0.250 0.875 1